The following is a DFT calculation (PBE) of crystalline LaErCu3 at its relaxed geometry.

Properties
The symmetry is No. 63. Its formation energy is -23 kJ/mol of atoms.

Cell lengths 12.852, 12.852, 4.360 Å; angles 90.00, 90.00, 163.07 degrees
Positions (direct):
1 La 0.074 0.926 0.750
2 La 0.926 0.074 0.250
3 Er 0.206 0.794 0.250
4 Er 0.794 0.206 0.750
5 Cu 0.323 0.677 0.250
6 Cu 0.377 0.623 0.750
7 Cu 0.476 0.524 0.750
8 Cu 0.524 0.476 0.250
9 Cu 0.623 0.377 0.250
10 Cu 0.677 0.323 0.750

The following is a DFT calculation (PBE) of crystalline ScTeRuN2 at its relaxed geometry.

Properties
The symmetry is No. 123. As for the energy above the lowest structure with this stoichiometry: 0.0 meV/atom. The calculation puts the uncorrected formation energy at 0.41 eV/atom.

Cell lengths 3.933, 3.933, 5.475 Å; angles 90.00, 90.00, 90.00 degrees
Positions (direct):
1 Sc 0.000 0.000 0.000
2 Te 0.500 0.500 0.000
3 Ru 0.500 0.500 0.500
4 N 0.000 0.500 0.500
5 N 0.500 0.000 0.500

The following is a DFT calculation (PBE) of crystalline Ca2OsW at its relaxed geometry.

Properties
The symmetry is No. 122. Its formation energy is 104 kJ/mol of atoms.

Cell lengths 7.890, 7.890, 7.890 Å; angles 95.20, 95.20, 144.95 degrees
Positions (direct):
1 Ca 0.375 0.213 0.338
2 Ca 0.787 0.125 0.162
3 Ca 0.875 0.037 0.662
4 Ca 0.963 0.625 0.838
5 Os 0.000 0.000 0.000
6 Os 0.750 0.250 0.500
7 W 0.250 0.750 0.500
8 W 0.500 0.500 0.000

The following is a DFT calculation (PBE) of crystalline Cd4CuP at its relaxed geometry.

Properties
The symmetry is No. 216. Its formation energy is 49 kJ/mol of atoms.

Cell lengths 5.662, 5.662, 5.662 Å; angles 60.00, 60.00, 60.00 degrees
Positions (direct):
1 Cd 0.125 0.125 0.125
2 Cd 0.125 0.125 0.625
3 Cd 0.125 0.625 0.125
4 Cd 0.625 0.125 0.125
5 Cu 0.750 0.750 0.750
6 P 0.500 0.500 0.500

What did we get for E_tot? Answer: -4.589, -6.667, -5.965, -1.691 eV/atom, in the order shown.